# 1
Here is a crystal of Mn2AgTe relaxed with PBEsol from the Alexandria database. Energies are from meta-GGA SCAN.

Cell: 8.437 8.437 8.437 Å, 21.48 21.48 21.48°
Sites, in units of the cell vectors:
Mn: 0.000 0.000 0.000
Mn: 0.272 0.272 0.272
Ag: 0.523 0.523 0.523
Te: 0.748 0.748 0.748

## Properties
Density: 8.13 g cm⁻³

---

# 2
Here is a crystal of Hf2SN2 relaxed with PBEsol from the Alexandria database. Energies are from meta-GGA SCAN.

Cell: 6.270 6.270 6.270 Å, 147.81 141.73 50.85°
Sites, in units of the cell vectors:
Hf: 0.174 0.174 0.000
Hf: 0.826 0.826 0.000
S: 0.000 0.500 0.500
N: 0.280 0.780 0.500
N: 0.720 0.220 0.500

## Properties
Density: 8.56 g cm⁻³

---

# 3
Here is a crystal of CoBrCl relaxed with PBEsol from the Alexandria database. Energies are from meta-GGA SCAN.

Cell: 4.355 4.355 4.355 Å, 60.00 60.00 60.00°
Sites, in units of the cell vectors:
Co: 0.000 0.000 0.000
Br: 0.750 0.750 0.750
Cl: 0.250 0.250 0.250

## Properties
Density: 4.96 g cm⁻³

---

What are the E_form (uncorrected) values for these records? In order: 149.9; -1989.5; -330.9 meV per atom.